1.
Here is crystalline ScRh at its relaxed geometry from the Alexandria database. Energies are from GGA-PBE.

Output
For the total energy, the calculation gives -7.0751 eV per atom. Its space group is P6_3/mmc (194). The value obtained for the energy relative to the elements is -234 meV/atom. The calculation puts the total magnetization at 0.0 Bohr magnetons per cell. The crystal system is hexagonal.

Cell lengths 4.441, 4.441, 5.297 Å; angles 90.00, 90.00, 120.00 degrees
Fractional coordinates of all 4 atoms:
Sc 0.333 0.667 0.250
Sc 0.667 0.333 0.750
Rh 0.333 0.667 0.750
Rh 0.667 0.333 0.250

2.
Here is crystalline K6PdAu2 at its relaxed geometry from the Alexandria database. Energies are from GGA-PBE.

Output
For the total energy, the calculation gives -2.1415 eV per atom. Its space group is R-3m (166). The value obtained for the energy relative to the elements is -105 meV/atom. The calculation puts the total magnetization at 0.0 Bohr magnetons per cell. The crystal system is trigonal.

Cell lengths 11.766, 11.766, 11.766 Å; angles 28.42, 28.42, 28.42 degrees
Fractional coordinates of all 9 atoms:
K 0.083 0.083 0.083
K 0.196 0.196 0.196
K 0.310 0.310 0.310
K 0.690 0.690 0.690
K 0.804 0.804 0.804
K 0.917 0.917 0.917
Pd 0.500 0.500 0.500
Au 0.419 0.419 0.419
Au 0.581 0.581 0.581

3.
Here is crystalline Y2ThPt9 at its relaxed geometry from the Alexandria database. Energies are from GGA-PBE.

Output
For the total energy, the calculation gives -7.2811 eV per atom. Its space group is P4/mmm (123). The value obtained for the energy relative to the elements is -1055 meV/atom. The calculation puts the total magnetization at 0.0 Bohr magnetons per cell. The crystal system is tetragonal.

Cell lengths 4.167, 4.167, 12.462 Å; angles 90.00, 90.00, 90.00 degrees
Fractional coordinates of all 12 atoms:
Y 0.000 0.000 0.163
Y 0.000 0.000 0.837
Th 0.000 0.000 0.500
Pt 0.000 0.500 0.000
Pt 0.000 0.500 0.330
Pt 0.000 0.500 0.670
Pt 0.500 0.000 0.000
Pt 0.500 0.000 0.330
Pt 0.500 0.000 0.670
Pt 0.500 0.500 0.164
Pt 0.500 0.500 0.500
Pt 0.500 0.500 0.836

4.
Here is crystalline Al2CuSi at its relaxed geometry from the Alexandria database. Energies are from GGA-PBE.

Output
For the total energy, the calculation gives -4.2458 eV per atom. Its space group is P-3m1 (164). The calculation puts the total magnetization at 0.0 Bohr magnetons per cell. Its uncorrected formation energy is 0.005 eV per atom. The crystal system is trigonal.

Cell lengths 4.006, 4.006, 4.703 Å; angles 90.00, 90.00, 120.00 degrees
Fractional coordinates of all 4 atoms:
Al 0.333 0.667 0.228
Al 0.667 0.333 0.772
Cu 0.000 0.000 0.000
Si 0.000 0.000 0.500

5.
Here is crystalline Tl8Bi2Sb at its relaxed geometry from the Alexandria database. Energies are from GGA-PBE.

Output
For the total energy, the calculation gives -2.7149 eV per atom. Its space group is C2/m (12). As for the energy above the most stable polymorph in this dataset: 1.114 eV/f.u. The calculation puts the total magnetization at 0.0 Bohr magnetons per cell. Its uncorrected formation energy is 0.086 eV per atom. The crystal system is monoclinic.

Cell lengths 8.517, 8.517, 6.008 Å; angles 101.07, 101.07, 65.92 degrees
Fractional coordinates of all 11 atoms:
Tl 0.134 0.736 0.717
Tl 0.139 0.139 0.813
Tl 0.264 0.866 0.283
Tl 0.270 0.270 0.397
Tl 0.730 0.730 0.603
Tl 0.736 0.134 0.717
Tl 0.861 0.861 0.187
Tl 0.866 0.264 0.283
Bi 0.383 0.383 0.956
Bi 0.617 0.617 0.044
Sb 0.500 0.500 0.500

6.
Here is crystalline Sm2Ga3SbPt4 at its relaxed geometry from the Alexandria database. Energies are from GGA-PBE.

Output
For the total energy, the calculation gives -5.5949 eV per atom. Its space group is P-4m2 (115). The calculation puts the total magnetization at 0.0 Bohr magnetons per cell. Its uncorrected formation energy is -0.914 eV per atom. The crystal system is tetragonal.

Cell lengths 4.316, 4.316, 10.728 Å; angles 90.00, 90.00, 90.00 degrees
Fractional coordinates of all 10 atoms:
Sm 0.000 0.500 0.238
Sm 0.500 0.000 0.762
Ga 0.000 0.500 0.874
Ga 0.500 0.000 0.126
Ga 0.500 0.500 0.500
Sb 0.000 0.000 0.500
Pt 0.000 0.000 0.000
Pt 0.000 0.500 0.645
Pt 0.500 0.000 0.355
Pt 0.500 0.500 0.000

7.
Here is crystalline Pm2Be3GaIr4 at its relaxed geometry from the Alexandria database. Energies are from GGA-PBE.

Output
For the total energy, the calculation gives -6.5408 eV per atom. Its space group is P-4m2 (115). The value obtained for the energy relative to the elements is -626 meV/atom. The calculation puts the total magnetization at 0.0 Bohr magnetons per cell. The crystal system is tetragonal.

Cell lengths 4.114, 4.114, 9.635 Å; angles 90.00, 90.00, 90.00 degrees
Fractional coordinates of all 10 atoms:
Pm 0.000 0.500 0.235
Pm 0.500 0.000 0.765
Be 0.000 0.500 0.889
Be 0.500 0.000 0.111
Be 0.500 0.500 0.500
Ga 0.000 0.000 0.500
Ir 0.000 0.000 0.000
Ir 0.000 0.500 0.641
Ir 0.500 0.000 0.359
Ir 0.500 0.500 0.000

8.
Here is crystalline V2PdPt7 at its relaxed geometry from the Alexandria database. Energies are from GGA-PBE.

Output
For the total energy, the calculation gives -6.4016 eV per atom. Its space group is Cmmm (65). The value obtained for the energy relative to the elements is 170 meV/atom. The calculation puts the total magnetization at 0.7 Bohr magnetons per cell. The crystal system is orthorhombic.

Cell lengths 7.536, 7.536, 3.932 Å; angles 90.00, 90.00, 123.05 degrees
Fractional coordinates of all 10 atoms:
V 0.192 0.808 0.000
V 0.808 0.192 0.000
Pd 0.500 0.500 0.500
Pt 0.000 0.000 0.000
Pt 0.195 0.415 0.000
Pt 0.297 0.703 0.500
Pt 0.415 0.195 0.000
Pt 0.585 0.805 0.000
Pt 0.703 0.297 0.500
Pt 0.805 0.585 0.000

Copy entry 3 word for word.
Here is crystalline Y2ThPt9 at its relaxed geometry from the Alexandria database. Energies are from GGA-PBE.

Output
For the total energy, the calculation gives -7.2811 eV per atom. Its space group is P4/mmm (123). The value obtained for the energy relative to the elements is -1055 meV/atom. The calculation puts the total magnetization at 0.0 Bohr magnetons per cell. The crystal system is tetragonal.

Cell lengths 4.167, 4.167, 12.462 Å; angles 90.00, 90.00, 90.00 degrees
Fractional coordinates of all 12 atoms:
Y 0.000 0.000 0.163
Y 0.000 0.000 0.837
Th 0.000 0.000 0.500
Pt 0.000 0.500 0.000
Pt 0.000 0.500 0.330
Pt 0.000 0.500 0.670
Pt 0.500 0.000 0.000
Pt 0.500 0.000 0.330
Pt 0.500 0.000 0.670
Pt 0.500 0.500 0.164
Pt 0.500 0.500 0.500
Pt 0.500 0.500 0.836

Question: Number 8 is which compound?
Answer: V2PdPt7

Question: Number 4 is which compound?
Answer: Al2CuSi